Entry 1:
{
  "formula": "Hf5Bi2N",
  "functional": "GGA-PBE",
  "state": "relaxed",
  "lattice_angstrom": [[1.966, -8.016, 0.000], [1.966, 8.016, 0.000], [0.000, 0.000, 12.383]],
  "species": ["Hf", "Hf", "Hf", "Hf", "Hf", "Hf", "Hf", "Hf", "Hf", "Hf", "Bi", "Bi", "Bi", "Bi", "N", "N"],
  "frac_coords": [[0.132, 0.868, 0.628], [0.132, 0.868, 0.872], [0.231, 0.769, 0.250], [0.309, 0.691, 0.547], [0.309, 0.691, 0.953], [0.691, 0.309, 0.047], [0.691, 0.309, 0.453], [0.769, 0.231, 0.750], [0.868, 0.132, 0.128], [0.868, 0.132, 0.372], [0.059, 0.941, 0.116], [0.059, 0.941, 0.384], [0.941, 0.059, 0.616], [0.941, 0.059, 0.884], [0.232, 0.768, 0.750], [0.768, 0.232, 0.250]],
  "space_group": "Cmcm, No. 63",
  "raw_formation_energy_ev_per_atom": -0.157
}

Entry 2:
{
  "formula": "AsPtW2",
  "functional": "GGA-PBE",
  "state": "relaxed",
  "lattice_angstrom": [[3.161, 0.000, 0.000], [0.000, 4.541, 0.000], [0.000, 0.000, 8.850]],
  "species": ["As", "As", "Pt", "Pt", "W", "W", "W", "W"],
  "frac_coords": [[0.000, 0.000, 0.000], [0.500, 0.500, 0.500], [0.000, 0.000, 0.500], [0.500, 0.500, 0.000], [0.000, 0.500, 0.274], [0.000, 0.500, 0.726], [0.500, 0.000, 0.226], [0.500, 0.000, 0.774]],
  "formation_energy_mev_per_atom": 187,
  "space_group": "Immm, No. 71"
}

Entry 3:
{
  "formula": "Pm6AgPt3",
  "functional": "GGA-PBE",
  "state": "relaxed",
  "lattice_angstrom": [[5.535, -7.191, 0.000], [5.535, 7.191, 0.000], [0.000, 0.000, 7.365]],
  "species": ["Pm", "Pm", "Pm", "Pm", "Pm", "Pm", "Pm", "Pm", "Pm", "Pm", "Pm", "Pm", "Ag", "Ag", "Pt", "Pt", "Pt", "Pt", "Pt", "Pt"],
  "frac_coords": [[0.009, 0.991, 0.500], [0.098, 0.543, 0.462], [0.234, 0.766, 0.856], [0.302, 0.359, 0.909], [0.359, 0.302, 0.409], [0.457, 0.902, 0.462], [0.543, 0.098, 0.962], [0.641, 0.698, 0.909], [0.698, 0.641, 0.409], [0.766, 0.234, 0.356], [0.902, 0.457, 0.962], [0.991, 0.009, 0.000], [0.169, 0.831, 0.237], [0.831, 0.169, 0.737], [0.075, 0.291, 0.211], [0.291, 0.075, 0.711], [0.402, 0.598, 0.625], [0.598, 0.402, 0.125], [0.709, 0.925, 0.211], [0.925, 0.709, 0.711]],
  "formation_energy_mev_per_atom": -675,
  "space_group": "Cmc2_1, No. 36"
}

Entry 4:
{
  "formula": "Sm3HoOs",
  "functional": "GGA-PBE",
  "state": "relaxed",
  "lattice_angstrom": [[5.529, 0.000, 0.000], [0.000, 5.529, 0.000], [0.000, 0.000, 5.529]],
  "species": ["Sm", "Sm", "Sm", "Ho", "Os"],
  "frac_coords": [[0.000, 0.000, 0.500], [0.000, 0.500, 0.000], [0.500, 0.000, 0.000], [0.500, 0.500, 0.500], [0.000, 0.000, 0.000]],
  "formation_energy_mev_per_atom": 122,
  "space_group": "Pm-3m, No. 221"
}

Entry 5:
{
  "formula": "La5Pr2ZnPd2",
  "functional": "GGA-PBE",
  "state": "relaxed",
  "lattice_angstrom": [[12.501, 0.000, 0.000], [0.000, 12.501, 0.000], [0.000, 0.000, 3.923]],
  "species": ["La", "La", "La", "La", "La", "La", "La", "La", "La", "La", "Pr", "Pr", "Pr", "Pr", "Zn", "Zn", "Pd", "Pd", "Pd", "Pd"],
  "frac_coords": [[0.000, 0.500, 0.000], [0.056, 0.198, 0.000], [0.198, 0.944, 0.000], [0.302, 0.444, 0.000], [0.444, 0.698, 0.000], [0.500, 0.000, 0.000], [0.556, 0.302, 0.000], [0.698, 0.556, 0.000], [0.802, 0.056, 0.000], [0.944, 0.802, 0.000], [0.182, 0.682, 0.500], [0.318, 0.182, 0.500], [0.682, 0.818, 0.500], [0.818, 0.318, 0.500], [0.000, 0.000, 0.500], [0.500, 0.500, 0.500], [0.130, 0.370, 0.500], [0.370, 0.870, 0.500], [0.630, 0.130, 0.500], [0.870, 0.630, 0.500]],
  "formation_energy_mev_per_atom": -415,
  "space_group": "P4/mbm, No. 127"
}

Entry 6:
{
  "formula": "AcAgSO6",
  "functional": "GGA-PBE",
  "state": "relaxed",
  "lattice_angstrom": [[4.720, 0.000, 0.000], [0.257, 5.275, 0.000], [2.120, 1.465, 4.719]],
  "species": ["Ac", "Ag", "S", "O", "O", "O", "O", "O", "O"],
  "frac_coords": [[0.000, 0.000, 0.000], [0.575, 0.550, 0.679], [0.259, 0.384, 0.273], [0.041, 0.625, 0.406], [0.128, 0.485, 0.993], [0.404, 0.309, 0.511], [0.478, 0.182, 0.104], [0.534, 0.654, 0.057], [0.983, 0.160, 0.457]],
  "space_group": "P1, No. 1",
  "raw_formation_energy_ev_per_atom": -1.252
}

Entry 7:
{
  "formula": "LaGe2TePt",
  "functional": "GGA-PBE",
  "state": "relaxed",
  "lattice_angstrom": [[5.349, 0.000, 0.000], [0.000, 5.349, 0.000], [0.000, 0.000, 4.960]],
  "species": ["La", "Ge", "Ge", "Te", "Pt"],
  "frac_coords": [[0.000, 0.000, 0.000], [0.000, 0.500, 0.500], [0.500, 0.000, 0.500], [0.500, 0.500, 0.500], [0.500, 0.500, 0.000]],
  "space_group": "P4/mmm, No. 123",
  "raw_formation_energy_ev_per_atom": 0.243
}

Entry 8:
{
  "formula": "BaZrCl2",
  "functional": "GGA-PBE",
  "state": "relaxed",
  "lattice_angstrom": [[3.629, 0.000, 0.000], [0.000, 4.997, 0.000], [0.000, 0.000, 6.694]],
  "species": ["Ba", "Zr", "Cl", "Cl"],
  "frac_coords": [[0.000, 0.000, 0.000], [0.500, 0.500, 0.365], [0.000, 0.500, 0.670], [0.500, 0.000, 0.385]],
  "space_group": "Pmm2, No. 25",
  "raw_formation_energy_ev_per_atom": -1.015
}

Number 1: M_tot 0.0 μB per formula unit. Number 2: M_tot 0.0 μB per formula unit. Number 3: M_tot 0.0 μB per formula unit. Number 4: M_tot 0.0 μB per formula unit. Number 5: M_tot 0.0 μB per formula unit. Number 6: M_tot 0.0 μB per formula unit. Number 7: M_tot 0.0 μB per formula unit. Number 8: M_tot 1.0 μB per formula unit.